1.
4
Lattice="-0.5047 0.8536 2.6318 -2.1569 -1.7969 0.1692 4.8949 -5.6157 2.7601" Properties=species:S:1:pos:R:3 comment="HgPRu2 SCAN PBEsol geometry" space_group="P4mm (99)" delta_e_f_ev_per_atom=0.233 pbc="T T T"
Ru 4.8538 -5.5686 2.7369
Ru -0.2747 -1.6832 1.9960
Hg 2.3315 -2.6748 1.3146
P 2.6651 -5.0559 3.6536

---

2.
5
Lattice="4.3191 0.0000 0.0000 0.0000 5.1379 0.0000 0.0000 0.0000 5.1379" Properties=species:S:1:pos:R:3 comment="TcHg2PRu SCAN PBEsol geometry" space_group="P4/mmm (123)" delta_e_f_ev_per_atom=1.093 pbc="T T T"
Tc 0.0000 0.0000 0.0000
Hg 0.0000 2.5689 0.0000
Hg 0.0000 0.0000 2.5689
Ru 2.1595 2.5689 2.5689
P 2.1595 0.0000 0.0000

---

3.
52
Lattice="10.5461 0.0000 0.0000 0.0000 10.5461 0.0000 0.0000 0.0000 10.5461" Properties=species:S:1:pos:R:3 comment="Hg3P2S8 SCAN PBEsol geometry" space_group="P2_13 (198)" e_form_raw_ev_per_fu=-2.75 pbc="T T T"
Hg 2.7989 1.2110 4.2426
Hg 8.0720 4.0621 6.3036
Hg 6.3036 8.0720 4.0621
Hg 9.5156 2.4741 9.3351
Hg 4.0621 6.3036 8.0720
Hg 6.4841 1.0305 7.7472
Hg 4.2426 2.7989 1.2110
Hg 2.4741 9.3351 9.5156
Hg 9.3351 9.5156 2.4741
Hg 7.7472 6.4841 1.0305
Hg 1.2110 4.2426 2.7989
Hg 1.0305 7.7472 6.4841
S 5.5314 3.0054 3.2319
S 7.5407 8.5049 10.2878
S 8.2785 2.0412 5.0147
S 0.1836 10.3625 5.0894
S 2.0412 5.0147 8.2785
S 5.4567 5.4567 5.4567
S 8.1572 5.1643 2.9990
S 8.5049 10.2878 7.5407
S 2.2677 7.3143 0.2584
S 2.3889 10.4373 2.2741
S 5.2371 10.5102 5.3091
S 2.8842 0.1088 7.5472
S 7.6620 5.3819 8.2720
S 8.2720 7.6620 5.3819
S 2.2741 2.3889 10.4373
S 2.9990 8.1572 5.1643
S 7.3143 0.2584 2.2677
S 10.4373 2.2741 2.3889
S 5.3819 8.2720 7.6620
S 10.5102 5.3091 5.2371
S 5.0147 8.2785 2.0412
S 10.2878 7.5407 8.5049
S 5.1643 2.9990 8.1572
S 3.0054 3.2319 5.5314
S 0.0360 0.0360 0.0360
S 5.3091 5.2371 10.5102
S 10.3625 5.0894 0.1836
S 3.2319 5.5314 3.0054
S 5.0894 0.1836 10.3625
S 7.5472 2.8842 0.1088
S 0.2584 2.2677 7.3143
S 0.1088 7.5472 2.8842
P 6.2499 9.5693 0.9768
P 4.0652 9.3383 6.4809
P 9.5693 0.9768 6.2499
P 6.4809 4.0652 9.3383
P 9.3383 6.4809 4.0652
P 1.2078 1.2078 1.2078
P 0.9768 6.2499 9.5693
P 4.2962 4.2962 4.2962

---

Number 1: volume 15.709 Å³/atom, DFT total energy -36.821 eV/atom, theoretical density 11.5 g cm⁻³. Number 2: volume 22.803 Å³/atom, DFT total energy -42.230 eV/atom, theoretical density 9.2 g cm⁻³. Number 3: volume 22.557 Å³/atom, DFT total energy -23.467 eV/atom, theoretical density 5.2 g cm⁻³.